Compound: Pr2Be4Si3Rh
Source: the Alexandria database
Functional: PBE-GGA
Structure: relaxed

Geometry as CIF:
```
data_Pr2Be4Si3Rh
_chemical_formula_sum 'Pr2 Be4 Si3 Rh1'
_cell_length_a 3.959
_cell_length_b 3.959
_cell_length_c 9.861
_cell_angle_alpha 90.00
_cell_angle_beta 90.00
_cell_angle_gamma 90.00
_symmetry_space_group_name_H-M 'P 1'
_symmetry_Int_Tables_number 1
loop_
_symmetry_equiv_pos_as_xyz
'x,y,z'
loop_
_atom_site_label
_atom_site_fract_x
_atom_site_fract_y
_atom_site_fract_z
_atom_site_occupancy
Pr1 0.500 0.000 0.245 1
Pr2 0.000 0.500 0.755 1
Be1 0.500 0.500 0.000 1
Be2 0.000 0.000 0.000 1
Be3 0.500 0.000 0.626 1
Be4 0.000 0.500 0.374 1
Si1 0.000 0.000 0.500 1
Si2 0.500 0.000 0.871 1
Si3 0.000 0.500 0.129 1
Rh1 0.500 0.500 0.500 1
```

Properties
Energy relative to the elements, uncorrected: -4.8 eV/f.u.
Magnetization: 0.000 μB per atom
Fermi-level density of states: 5.78 states/eV per cell